[1]
Material: CuNiMo
Method: DFT, PBE
State: optimized geometry

Structure (CIF):
```
data_CuNiMo
_chemical_formula_sum 'Cu1 Ni1 Mo1'
_cell_length_a 3.951
_cell_length_b 3.951
_cell_length_c 3.951
_cell_angle_alpha 60.00
_cell_angle_beta 60.00
_cell_angle_gamma 60.00
_space_group_name_H-M_alt 'P 1'
_space_group_IT_number 1
loop_
_space_group_symop_operation_xyz
'x,y,z'
loop_
_atom_site_label
_atom_site_fract_x
_atom_site_fract_y
_atom_site_fract_z
_atom_site_occupancy
Mo1 0.500 0.500 0.500 1
Ni1 0.750 0.750 0.750 1
Cu1 0.000 0.000 0.000 1
```

Properties
- Crystal system: cubic
- Excess energy over the best structure of this formula in the dataset: 430.7 meV/atom
- DFT formation energy: 0.469 eV per atom
- Raw total energy: -6.433 eV per atom
- Total moment: 0.00 μB/atom

=====

[2]
Material: CuNiMo3
Method: DFT, PBE
State: optimized geometry

Structure (CIF):
```
data_CuNiMo3
_chemical_formula_sum 'Cu1 Ni1 Mo3'
_cell_length_a 4.461
_cell_length_b 4.461
_cell_length_c 4.461
_cell_angle_alpha 90.00
_cell_angle_beta 90.00
_cell_angle_gamma 90.00
_space_group_name_H-M_alt 'P 1'
_space_group_IT_number 1
loop_
_space_group_symop_operation_xyz
'x,y,z'
loop_
_atom_site_label
_atom_site_fract_x
_atom_site_fract_y
_atom_site_fract_z
_atom_site_occupancy
Mo1 0.500 0.000 0.000 1
Mo2 0.000 0.000 0.500 1
Mo3 0.000 0.500 0.000 1
Cu1 0.000 0.000 0.000 1
Ni1 0.500 0.500 0.500 1
```

Properties
- Crystal system: cubic
- Excess energy over the best structure of this formula in the dataset: 314.8 meV/atom
- DFT formation energy: 1.785 eV per atom
- Raw total energy: -6.689 eV per atom
- Total moment: 0.12 μB/atom

=====

[3]
Material: CuNiMo
Method: DFT, PBE
State: optimized geometry

Structure (CIF):
```
data_CuNiMo
_chemical_formula_sum 'Cu2 Ni2 Mo2'
_cell_length_a 4.648
_cell_length_b 2.610
_cell_length_c 6.582
_cell_angle_alpha 90.00
_cell_angle_beta 103.01
_cell_angle_gamma 90.00
_space_group_name_H-M_alt 'P 1'
_space_group_IT_number 1
loop_
_space_group_symop_operation_xyz
'x,y,z'
loop_
_atom_site_label
_atom_site_fract_x
_atom_site_fract_y
_atom_site_fract_z
_atom_site_occupancy
Cu1 0.980 0.500 0.547 1
Cu2 0.031 0.000 0.221 1
Mo1 0.745 0.500 0.878 1
Mo2 0.520 0.500 0.209 1
Ni1 0.243 0.000 0.883 1
Ni2 0.465 0.000 0.548 1
```

Properties
- Crystal system: monoclinic
- Excess energy over the best structure of this formula in the dataset: 77.1 meV/atom
- DFT formation energy: 0.116 eV per atom
- Raw total energy: -6.787 eV per atom
- Total moment: 0.00 μB/atom

=====

[4]
Material: CuNiMo
Method: DFT, PBE
State: optimized geometry

Structure (CIF):
```
data_CuNiMo
_chemical_formula_sum 'Cu1 Ni1 Mo1'
_cell_length_a 4.054
_cell_length_b 4.054
_cell_length_c 4.054
_cell_angle_alpha 60.00
_cell_angle_beta 60.00
_cell_angle_gamma 60.00
_space_group_name_H-M_alt 'P 1'
_space_group_IT_number 1
loop_
_space_group_symop_operation_xyz
'x,y,z'
loop_
_atom_site_label
_atom_site_fract_x
_atom_site_fract_y
_atom_site_fract_z
_atom_site_occupancy
Cu1 0.500 0.500 0.500 1
Mo1 0.750 0.750 0.750 1
Ni1 0.000 0.000 0.000 1
```

Properties
- Crystal system: cubic
- Excess energy over the best structure of this formula in the dataset: 830.9 meV/atom
- DFT formation energy: 0.870 eV per atom
- Raw total energy: -6.033 eV per atom
- Total moment: 0.24 μB/atom